Arrangement 1

VASP calculation (GGA-PBE) on a relaxed structure of K3FeSe3.

Values from the calculation:
- V (Å³ per cell) = 1813
- crystal system = orthorhombic
- total moment (μB per cell) = 37.61

Lattice parameters (Å, degrees): 19.7240 6.9444 13.2386 90.00 90.00 90.00
With the nearest neighbours (Å) after each atom.
Space group Cmce (No. 64)
Inequivalent atoms, fractional coordinates:
1 K 0.0000 0.1620 0.1597 x8  5 Se 3.28-3.44, 2 Fe 3.56
2 K 0.1769 0.1696 0.8696 x16  6 Se 3.36-3.64, 1 Fe 3.41
3 Fe 0.0835 0.0000 0.5000 x8  4 Se 2.37-2.47
4 Se 0.0000 0.2026 0.4099 x8  2 Fe 2.47
5 Se 0.1530 0.1734 0.6148 x16  1 Fe 2.37

=====

Arrangement 2

VASP calculation (GGA-PBE) on a relaxed structure of K3FeSe3.

Values from the calculation:
- V (Å³ per cell) = 887
- crystal system = monoclinic
- total moment (μB per cell) = 15.90

Lattice parameters (Å, degrees): 8.1130 13.1187 10.6345 90.00 128.41 90.00
With the nearest neighbours (Å) after each atom.
Space group P2_1/c (No. 14)
Inequivalent atoms, fractional coordinates:
1 K 0.1096 0.1360 0.4722 x4  4 Se 3.23-3.38
2 K 0.1483 0.0654 0.9002 x4  5 Se 3.27-3.57
3 K 0.3833 0.6988 0.5976 x4  5 Se 3.26-3.51, 1 Fe 3.48
4 Fe 0.4396 0.0518 0.3527 x4  4 Se 2.37-2.41
5 Se 0.1430 0.1635 0.1869 x4  1 Fe 2.40
6 Se 0.3505 0.6168 0.8773 x4  2 Fe 2.39-2.41
7 Se 0.3741 0.5395 0.2516 x4  1 Fe 2.37

=====

It is arrangement 1 that is the most stable of them.

=====

Arrangement 1

VASP calculation (GGA-PBE) on a relaxed structure of KFeSi3.

Values from the calculation:
- V (Å³ per cell) = 94
- crystal system = cubic
- total moment (μB per cell) = 2.21

Lattice parameters (Å, degrees): 4.5520 4.5520 4.5520 90.00 90.00 90.00
With the nearest neighbours (Å) after each atom.
Space group Pm-3m (No. 221)
Inequivalent atoms, fractional coordinates:
1 K 0.0000 0.0000 0.0000 x1  12 Si 3.22
2 Fe 0.5000 0.5000 0.5000 x1  6 Si 2.28
3 Si 0.0000 0.5000 0.5000 x3  2 Fe 2.28

=====

Arrangement 2

VASP calculation (GGA-PBE) on a relaxed structure of KFeSi3.

Values from the calculation:
- V (Å³ per cell) = 134
- crystal system = cubic
- total moment (μB per cell) = 0.01

Lattice parameters (Å, degrees): 5.1189 5.1189 5.1189 90.00 90.00 90.00
With the nearest neighbours (Å) after each atom.
Space group Pm-3m (No. 221)
Inequivalent atoms, fractional coordinates:
1 K 0.0000 0.0000 0.0000 x1  6 Si 2.56
2 Fe 0.5000 0.5000 0.5000 x1  12 Si 3.62
3 Si 0.0000 0.0000 0.5000 x3  2 K 2.56

=====

It is arrangement 1 that is the most stable of them.

=====

Arrangement 1

VASP calculation (GGA-PBE) on a relaxed structure of KSrFe3.

Values from the calculation:
- V (Å³ per cell) = 170
- crystal system = cubic
- total moment (μB per cell) = 9.05

Lattice parameters (Å, degrees): 5.5427 5.5427 5.5427 90.00 90.00 90.00
With the nearest neighbours (Å) after each atom.
Space group Pm-3m (No. 221)
Inequivalent atoms, fractional coordinates:
1 K 0.0000 0.0000 0.0000 x1  12 Fe 3.92
2 Sr 0.5000 0.5000 0.5000 x1  6 Fe 2.77
3 Fe 0.0000 0.5000 0.5000 x3  2 Sr 2.77

=====

Arrangement 2

VASP calculation (GGA-PBE) on a relaxed structure of KSrFe3.

Values from the calculation:
- V (Å³ per cell) = 140
- crystal system = cubic
- total moment (μB per cell) = 9.19

Lattice parameters (Å, degrees): 5.1943 5.1943 5.1943 90.00 90.00 90.00
With the nearest neighbours (Å) after each atom.
Space group Pm-3m (No. 221)
Inequivalent atoms, fractional coordinates:
1 K 0.0000 0.0000 0.0000 x1  6 Fe 2.60
2 Sr 0.5000 0.5000 0.5000 x1  12 Fe 3.67
3 Fe 0.0000 0.0000 0.5000 x3  2 K 2.60

=====

It is arrangement 1 that is the most stable of them.

=====

Arrangement 1

VASP calculation (GGA-PBE) on a relaxed structure of KTaFe.

Values from the calculation:
- V (Å³ per cell) = 265
- crystal system = cubic
- total moment (μB per cell) = 0.47

Lattice parameters (Å, degrees): 6.4247 6.4247 6.4247 90.00 90.00 90.00
With the nearest neighbours (Å) after each atom.
Space group F-43m (No. 216)
Inequivalent atoms, fractional coordinates:
1 K 0.0000 0.0000 0.0000 x4  4 Fe 2.78
2 Ta 0.0000 0.0000 0.5000 x4  4 Fe 2.78
3 Fe 0.2500 0.2500 0.2500 x4  4 Ta 2.78, 4 K 2.78

=====

Arrangement 2

VASP calculation (GGA-PBE) on a relaxed structure of KTaFe.

Values from the calculation:
- V (Å³ per cell) = 69
- crystal system = trigonal
- total moment (μB per cell) = 0.61

Lattice parameters (Å, degrees): 3.2231 3.2231 7.7134 90.00 90.00 120.00
With the nearest neighbours (Å) after each atom.
Space group P3m1 (No. 156)
Inequivalent atoms, fractional coordinates:
1 K 0.0000 0.0000 0.0000 x1  6 K 3.22, 3 Fe 3.41
2 Ta 0.6667 0.3333 0.4401 x1  3 Fe 2.37
3 Fe 0.3333 0.6667 0.6299 x1  3 Ta 2.37

=====

Arrangement 3

VASP calculation (GGA-PBE) on a relaxed structure of KTaFe.

Values from the calculation:
- V (Å³ per cell) = 139
- crystal system = tetragonal
- total moment (μB per cell) = 2.10

Lattice parameters (Å, degrees): 3.1382 3.1382 14.1578 90.00 90.00 90.00
With the nearest neighbours (Å) after each atom.
Space group I4mm (No. 107)
Inequivalent atoms, fractional coordinates:
1 K 0.0000 0.0000 0.0000 x2  4 K 3.14, 4 Fe 3.47
2 Ta 0.0000 0.0000 0.7357 x2  4 Fe 2.47
3 Fe 0.0000 0.0000 0.3117 x2  4 Ta 2.47

=====

Arrangement 4

VASP calculation (GGA-PBE) on a relaxed structure of KTaFe.

Values from the calculation:
- V (Å³ per cell) = 61
- crystal system = trigonal
- total moment (μB per cell) = 2.42

Lattice parameters (Å, degrees): 5.1685 5.1685 2.6556 90.00 90.00 120.00
With the nearest neighbours (Å) after each atom.
Space group P3m1 (No. 156)
Inequivalent atoms, fractional coordinates:
1 K 0.0000 0.0000 0.0000 x1  2 K 2.66
2 Ta 0.6667 0.3333 0.3244 x1  2 Ta 2.66
3 Fe 0.3333 0.6667 0.7573 x1  2 Fe 2.66

=====

It is arrangement 3 that is the most stable of them.

=====

Arrangement 1

VASP calculation (GGA-PBE) on a relaxed structure of K2TaFe.

Values from the calculation:
- V (Å³ per cell) = 255
- crystal system = orthorhombic
- total moment (μB per cell) = 0.00

Lattice parameters (Å, degrees): 3.1929 6.3892 12.4811 90.00 90.00 90.00
With the nearest neighbours (Å) after each atom.
Space group Imm2 (No. 44)
Inequivalent atoms, fractional coordinates:
1 K 0.0000 0.0000 0.0000 x2  2 K 3.19
2 K 0.0000 0.5000 0.1937 x2  2 K 3.19, 2 Fe 3.54
3 Ta 0.0000 0.5000 0.8165 x2  2 Fe 2.23
4 Fe 0.0000 0.0000 0.4407 x2  2 Ta 2.23

=====

Arrangement 2

VASP calculation (GGA-PBE) on a relaxed structure of K2TaFe.

Values from the calculation:
- V (Å³ per cell) = 416
- crystal system = cubic
- total moment (μB per cell) = 1.70

Lattice parameters (Å, degrees): 7.4666 7.4666 7.4666 90.00 90.00 90.00
With the nearest neighbours (Å) after each atom.
Space group F-43m (No. 216)
Inequivalent atoms, fractional coordinates:
1 K 0.0000 0.0000 0.0000 x4  4 Ta 3.23, 4 K 3.23
2 K 0.2500 0.2500 0.2500 x4  4 Fe 3.23, 4 K 3.23
3 Ta 0.2500 0.2500 0.7500 x4  4 Fe 3.23, 4 K 3.23
4 Fe 0.0000 0.0000 0.5000 x4  4 K 3.23, 4 Ta 3.23

=====

Arrangement 3

VASP calculation (GGA-PBE) on a relaxed structure of K2TaFe.

Values from the calculation:
- V (Å³ per cell) = 250
- crystal system = orthorhombic
- total moment (μB per cell) = 0.99

Lattice parameters (Å, degrees): 3.1177 3.8107 21.0655 90.00 90.00 90.00
With the nearest neighbours (Å) after each atom.
Space group Immm (No. 71)
Inequivalent atoms, fractional coordinates:
1 K 0.0000 0.0000 0.1488 x4  2 K 3.12
2 Ta 0.0000 0.5000 0.0000 x2  4 Fe 2.46
3 Fe 0.0000 0.5000 0.5000 x2  4 Ta 2.46

=====

It is arrangement 3 that is the most stable of them.

=====

Arrangement 1

VASP calculation (GGA-PBE) on a relaxed structure of K2TaFe.

Values from the calculation:
- V (Å³ per cell) = 428
- crystal system = cubic
- total moment (μB per cell) = 0.33

Lattice parameters (Å, degrees): 7.5333 7.5333 7.5333 90.00 90.00 90.00
With the nearest neighbours (Å) after each atom.
Space group Fm-3m (No. 225)
Inequivalent atoms, fractional coordinates:
1 K 0.2500 0.2500 0.2500 x8  4 Ta 3.26, 4 Fe 3.26
2 Ta 0.0000 0.0000 0.0000 x4  8 K 3.26
3 Fe 0.0000 0.0000 0.5000 x4  8 K 3.26

=====

Arrangement 2

VASP calculation (GGA-PBE) on a relaxed structure of K2TaFe.

Values from the calculation:
- V (Å³ per cell) = 191
- crystal system = orthorhombic
- total moment (μB per cell) = 4.93

Lattice parameters (Å, degrees): 3.0480 5.0353 12.4355 90.00 90.00 90.00
With the nearest neighbours (Å) after each atom.
Space group Cmmm (No. 65)
Inequivalent atoms, fractional coordinates:
1 K 0.0000 0.0000 0.2359 x4  6 K 2.94-3.05
2 Ta 0.0000 0.5000 0.5000 x2  6 Ta 2.94-3.05
3 Fe 0.0000 0.5000 0.0000 x2  6 Fe 2.94-3.05

=====

It is arrangement 2 that is the most stable of them.

=====

Arrangement 1

VASP calculation (GGA-PBE) on a relaxed structure of K2TaFe.

Values from the calculation:
- V (Å³ per cell) = 92
- crystal system = orthorhombic
- total moment (μB per cell) = 1.12

Lattice parameters (Å, degrees): 3.1068 4.7578 6.2387 90.00 90.00 90.00
With the nearest neighbours (Å) after each atom.
Space group Pmmm (No. 47)
Inequivalent atoms, fractional coordinates:
1 K 0.0000 0.0000 0.0000 x1  6 K 2.84-3.11
2 K 0.5000 0.5000 0.0000 x1  6 K 2.84-3.11
3 Ta 0.0000 0.5000 0.5000 x1  4 Fe 2.84, 2 Ta 3.11
4 Fe 0.5000 0.0000 0.5000 x1  4 Ta 2.84, 2 Fe 3.11

=====

Arrangement 2

VASP calculation (GGA-PBE) on a relaxed structure of K2TaFe.

Values from the calculation:
- V (Å³ per cell) = 237
- crystal system = monoclinic
- total moment (μB per cell) = 0.00

Lattice parameters (Å, degrees): 5.9961 3.4354 11.6669 90.00 99.05 90.00
With the nearest neighbours (Å) after each atom.
Space group Cm (No. 8)
Inequivalent atoms, fractional coordinates:
1 K 0.0000 0.0000 0.0000 x2  3 Fe 3.30-3.31, 6 K 3.44-3.46
2 K 0.2040 0.0000 0.6313 x2  6 K 3.44-3.46
3 Ta 0.4422 0.0000 0.3420 x2  3 Fe 2.38
4 Fe 0.2397 0.5000 0.2292 x2  3 Ta 2.38

=====

Arrangement 3

VASP calculation (GGA-PBE) on a relaxed structure of K2TaFe.

Values from the calculation:
- V (Å³ per cell) = 100
- crystal system = tetragonal
- total moment (μB per cell) = 1.96

Lattice parameters (Å, degrees): 2.8581 2.8581 12.1985 90.00 90.00 90.00
With the nearest neighbours (Å) after each atom.
Space group P4/mmm (No. 123)
Inequivalent atoms, fractional coordinates:
1 K 0.0000 0.0000 0.2366 x2  4 K 2.86
2 Ta 0.5000 0.5000 0.5000 x1  4 Ta 2.86
3 Fe 0.5000 0.5000 0.0000 x1  4 Fe 2.86

=====

It is arrangement 2 that is the most stable of them.

=====

Arrangement 1

VASP calculation (GGA-PBE) on a relaxed structure of K2TaFe.

Values from the calculation:
- V (Å³ per cell) = 119
- crystal system = monoclinic
- total moment (μB per cell) = 1.43

Lattice parameters (Å, degrees): 3.2830 3.3064 10.9305 90.00 90.50 90.00
With the nearest neighbours (Å) after each atom.
Space group Pm (No. 6)
Inequivalent atoms, fractional coordinates:
1 K 0.0000 0.0000 0.0000 x1  4 K 3.28-3.31
2 K 0.4827 0.5000 0.3953 x1  4 K 3.28-3.31, 4 Fe 3.50, 1 Ta 3.57
3 Ta 0.4927 0.5000 0.7216 x1  4 Fe 2.52
4 Fe 0.9901 0.0000 0.6345 x1  4 Ta 2.52

=====

Arrangement 2

VASP calculation (GGA-PBE) on a relaxed structure of K2TaFe.

Values from the calculation:
- V (Å³ per cell) = 98
- crystal system = orthorhombic
- total moment (μB per cell) = 0.99

Lattice parameters (Å, degrees): 2.8839 5.5701 6.1221 90.00 90.00 90.00
With the nearest neighbours (Å) after each atom.
Space group Pmmm (No. 47)
Inequivalent atoms, fractional coordinates:
1 K 0.0000 0.2470 0.0000 x2  4 K 2.75-2.88
2 Ta 0.5000 0.5000 0.5000 x1  2 Fe 2.79, 2 Ta 2.88
3 Fe 0.5000 0.0000 0.5000 x1  2 Ta 2.79, 2 Fe 2.88

=====

It is arrangement 1 that is the most stable of them.